Record 1
First-principles (GGA-PBE) data for an optimized crystal structure of LiErAg6, as listed in Alexandria.

Results
- Relative energy among the computed polymorphs: 0.000 eV per formula unit

```
8
Lattice="-0.6422 -3.5259 2.7604 1.8224 -4.3278 -1.3973 6.1264 -0.0179 5.1091" Properties=species:S:1:pos:R:3 pbc="T T T"
Li 0.0000 0.0000 0.0000
Er 3.9744 -2.1729 1.8559
Ag 5.4356 -4.6003 2.8020
Ag 4.6429 -2.8192 4.8926
Ag 1.2131 -2.5601 0.7188
Ag 2.6637 -5.0524 1.5796
Ag 1.8710 -3.2713 3.6702
Ag 6.0935 -5.3115 5.7533
```

---

Record 2
First-principles (GGA-PBE) data for an optimized crystal structure of Dy6ErTl6, as listed in Alexandria.

Results
- Total energy: -3.7349 eV/atom

```
13
Lattice="-5.5633 -2.3526 -2.1968 4.3165 -3.9338 2.6840 -4.4080 1.6061 9.4431" Properties=species:S:1:pos:R:3 pbc="T T T"
Dy -2.9302 1.0676 6.2772
Dy -1.4778 0.5385 3.1659
Dy 1.0233 -3.4067 1.0571
Dy -2.2700 -2.8797 -0.5699
Dy -1.1808 -2.6037 5.7786
Dy -4.4741 -2.0766 4.1517
Er 0.0000 0.0000 0.0000
Tl -1.1630 -0.7567 8.4570
Tl -6.1029 0.0338 6.0166
Tl -3.9447 -1.9330 7.3586
Tl -3.8684 -0.7803 1.2297
Tl 1.0715 -1.5709 3.6701
Tl -1.7101 -2.7472 2.5717
```

---

Record 3
First-principles (GGA-PBE) data for an optimized crystal structure of Ac2BiC, as listed in Alexandria.

Results
- Relative energy among the computed polymorphs: 0.000 eV per formula unit

```
4
Lattice="-2.3353 3.0703 -0.1600 -2.6140 0.5841 2.7806 5.1132 6.6339 6.0934" Properties=species:S:1:pos:R:3 pbc="T T T"
C 0.0820 5.1442 4.3571
Ac 2.7668 4.7549 4.2824
Ac -2.6028 5.5334 4.4317
Bi 0.0000 0.0000 0.0000
```

---

Record 4
First-principles (GGA-PBE) data for an optimized crystal structure of Sc2MoPPt, as listed in Alexandria.

Results
- Total energy: -6.7345 eV/atom

```
5
Lattice="4.9719 0.0000 0.0000 0.0000 4.4715 0.0000 0.0000 0.0000 4.9719" Properties=species:S:1:pos:R:3 pbc="T T T"
Sc 0.0000 0.0000 2.4859
Sc 2.4859 0.0000 0.0000
P 0.0000 2.2358 0.0000
Mo 0.0000 0.0000 0.0000
Pt 2.4859 2.2358 2.4859
```

---

Record 5
First-principles (GGA-PBE) data for an optimized crystal structure of LiPu2Hg8, as listed in Alexandria.

Results
- Total energy: -3.1290 eV/atom

```
11
Lattice="-0.9194 -0.2574 -4.5903 -0.3737 -4.6615 0.3363 -12.3272 1.1615 2.4039" Properties=species:S:1:pos:R:3 pbc="T T T"
Li 0.0000 0.0000 0.0000
Pu -3.8217 0.3601 0.7453
Pu -8.5055 0.8014 1.6587
Hg -6.3504 -1.7500 1.3701
Hg -6.6233 0.4520 -1.0932
Hg -4.5215 -2.0944 -1.3714
Hg -9.0987 -1.6631 -0.4788
Hg -1.7493 -2.1835 0.4728
Hg -2.0222 0.0185 -1.9905
Hg -10.9515 -1.3165 2.2674
Hg -11.2244 0.8856 -0.1959
```

---

Record 6
First-principles (GGA-PBE) data for an optimized crystal structure of Sm3Th, as listed in Alexandria.

Results
- Relative energy among the computed polymorphs: 0.153 eV per formula unit

```
4
Lattice="5.1159 0.0000 0.0000 0.0000 5.1159 0.0000 -2.5579 -2.5579 5.1102" Properties=species:S:1:pos:R:3 pbc="T T T"
Sm 2.5579 0.0000 2.5551
Sm 0.0000 2.5579 2.5551
Sm 2.5579 2.5579 0.0000
Th 0.0000 0.0000 0.0000
```

---

Record 7
First-principles (GGA-PBE) data for an optimized crystal structure of Ag2PSeF, as listed in Alexandria.

Results
- Energy relative to the elements, uncorrected: 0.27 eV per atom

```
5
Lattice="-2.3345 -0.9698 -4.4339 2.1998 -3.2714 -0.4427 -3.5482 -2.7192 2.4630" Properties=species:S:1:pos:R:3 pbc="T T T"
P -1.8415 -3.4802 -1.2068
Se 0.0000 0.0000 0.0000
Ag -1.7741 -1.3596 1.2315
Ag -1.1673 -0.4849 -2.2169
F 1.0999 -1.6357 -0.2213
```

---

Record 8
First-principles (GGA-PBE) data for an optimized crystal structure of ZrSiAg, as listed in Alexandria.

Results
- Energy relative to the elements, uncorrected: -0.20 eV per atom

```
6
Lattice="-2.9489 1.1626 2.1250 3.8702 -1.8267 2.9435 0.9856 6.4271 -2.1484" Properties=species:S:1:pos:R:3 pbc="T T T"
Si 1.1765 5.0461 2.2988
Si 0.7304 0.7169 0.6214
Ag -0.5011 2.9817 1.1001
Ag 2.4080 2.7813 1.8200
Zr 0.3990 1.1045 3.3761
Zr 1.5079 4.6584 -0.4560
```

---

Record 9
First-principles (GGA-PBE) data for an optimized crystal structure of Np2GaC, as listed in Alexandria.

Results
- Relative energy among the computed polymorphs: 0.000 eV per formula unit

```
4
Lattice="-2.8754 0.1152 0.9652 0.3546 -2.6818 1.3766 2.2241 3.4818 6.2101" Properties=species:S:1:pos:R:3 pbc="T T T"
Np 1.8082 2.8307 5.0489
Np 0.4159 0.6511 1.1613
C -1.2604 -1.2833 1.1709
Ga -0.1483 0.4576 4.2759
```

---

Record 10
First-principles (GGA-PBE) data for an optimized crystal structure of Sc3PbF, as listed in Alexandria.

Results
- Energy relative to the elements, uncorrected: 0.28 eV per atom
- Relative energy among the computed polymorphs: 6.229 eV per formula unit

```
5
Lattice="5.5388 0.0000 0.0000 0.0000 5.5388 0.0000 0.0000 0.0000 5.5388" Properties=species:S:1:pos:R:3 pbc="T T T"
Pb 0.0000 0.0000 0.0000
Sc 0.0000 2.7694 0.0000
Sc 0.0000 0.0000 2.7694
Sc 2.7694 0.0000 0.0000
F 2.7694 2.7694 2.7694
```

---

Record 11
First-principles (GGA-PBE) data for an optimized crystal structure of LaPIr2Pd, as listed in Alexandria.

Results
- Total energy: -7.1055 eV/atom

```
5
Lattice="-2.6508 3.0986 2.0292 1.5767 -1.3755 4.1601 3.3676 3.0552 -0.2662" Properties=species:S:1:pos:R:3 pbc="T T T"
P 0.0000 0.0000 0.0000
Ir 1.6838 1.5276 -0.1331
Ir -1.3254 1.5493 1.0146
Pd 0.7883 -0.6877 2.0800
La 1.1467 2.3892 2.9615
```

---

Record 12
First-principles (GGA-PBE) data for an optimized crystal structure of Ba3CdPt3, as listed in Alexandria.

Results
- Total energy: -4.2135 eV/atom

```
14
Lattice="-1.2498 -3.6224 -2.5282 4.9742 -2.0088 -3.7488 4.0518 -10.8309 9.3476" Properties=species:S:1:pos:R:3 pbc="T T T"
Ba 3.5945 -9.3233 3.2453
Ba 4.1817 -7.1390 -0.1747
Ba 1.8302 -3.9158 0.5377
Ba 5.9460 -12.5464 2.5329
Ba 4.6512 -12.0223 6.5902
Ba 3.1250 -4.4399 -3.5196
Cd 1.0451 -7.3595 1.6918
Cd 6.7311 -9.1027 1.3787
Pt 4.5553 -10.4453 0.2098
Pt 3.2209 -6.0169 2.8608
Pt 7.8823 -12.1106 5.1193
Pt -0.1061 -4.3517 -2.0488
Pt 3.9844 -7.7024 -3.4381
Pt 3.7918 -8.7598 6.5086
```

---

Record 13
First-principles (GGA-PBE) data for an optimized crystal structure of ZnGa3Cu4, as listed in Alexandria.

Results
- Total energy: -3.2943 eV/atom

```
8
Lattice="-5.1320 0.7849 -2.3041 2.6116 -5.0431 0.0982 1.4278 -0.2440 5.4922" Properties=species:S:1:pos:R:3 pbc="T T T"
Zn 0.8976 -2.4797 3.7610
Ga -1.1294 -1.0217 3.2626
Ga -3.1753 0.4637 2.7329
Ga -0.5587 -3.3935 0.5363
Cu 2.7312 -3.9282 4.4620
Cu 0.7004 -1.2701 1.6515
Cu -1.8697 -0.8950 0.5046
Cu 2.0145 -3.7878 1.7167
```

---

Record 14
First-principles (GGA-PBE) data for an optimized crystal structure of HgPbF6, as listed in Alexandria.

Results
- Energy relative to the elements, uncorrected: -1.71 eV per atom

```
8
Lattice="-4.0405 2.7495 -2.0438 3.9812 -1.0072 -3.3463 -2.4288 -5.0839 -0.2947" Properties=species:S:1:pos:R:3 pbc="T T T"
Hg -1.2440 -1.6708 -2.8424
Pb 0.0000 0.0000 0.0000
F -0.6693 -3.1196 -4.5988
F -3.1392 -1.9629 -4.1977
F 0.6512 -1.3788 -1.4871
F -1.8187 -0.2221 -1.0861
F -1.8820 -3.4865 -1.5347
F -0.6060 0.1448 -4.1502
```

---

Record 15
First-principles (GGA-PBE) data for an optimized crystal structure of Nb2RuRh3, as listed in Alexandria.

Results
- Relative energy among the computed polymorphs: 2.104 eV per formula unit

```
12
Lattice="-2.4199 6.8202 -1.3490 -3.0484 2.9493 -6.0166 -6.7895 2.5711 -1.2180" Properties=species:S:1:pos:R:3 pbc="T T T"
Nb -4.4816 4.5119 -3.1383
Nb -1.6473 1.6584 -1.1535
Nb -10.6104 10.6821 -7.4301
Nb -7.7761 7.8287 -5.4454
Ru -6.1288 6.1703 -4.2918
Ru 0.0000 0.0000 0.0000
Rh -6.3061 5.3136 -1.6179
Rh -5.6530 3.5247 -5.1223
Rh -3.3630 6.5874 -3.9893
Rh -5.9516 7.0269 -6.9657
Rh -6.6047 8.8158 -3.4613
Rh -8.8946 5.7532 -4.5943
```

---

Record 16
First-principles (GGA-PBE) data for an optimized crystal structure of YTh4N4, as listed in Alexandria.

Results
- Energy relative to the elements, uncorrected: -1.32 eV per atom

```
9
Lattice="3.5162 0.0000 0.8311 1.4925 5.9101 1.5391 -0.0525 -0.0242 8.0758" Properties=species:S:1:pos:R:3 pbc="T T T"
Y 1.7581 0.0000 0.4155
Th 3.0532 2.3526 2.7898
Th 4.3489 4.8084 5.1616
Th 1.9030 3.5333 7.6561
Th 0.6073 1.0774 5.2844
N 1.2080 0.6214 2.7431
N 3.7483 5.2644 7.7029
N 3.5550 1.7196 8.5205
N 1.4012 4.1662 1.9255
```

---

Record 17
First-principles (GGA-PBE) data for an optimized crystal structure of LaLuHgPt, as listed in Alexandria.

Results
- Total energy: -4.6986 eV/atom

```
4
Lattice="5.1861 0.0000 0.0000 2.5930 4.4913 0.0000 2.5930 1.4971 4.2344" Properties=species:S:1:pos:R:3 pbc="T T T"
Lu 5.1861 2.9942 2.1172
Hg 7.7791 4.4913 3.1758
Pt 2.5930 1.4971 1.0586
La 0.0000 0.0000 0.0000
```

---

Record 18
First-principles (GGA-PBE) data for an optimized crystal structure of Th8Rh3Se4S, as listed in Alexandria.

Results
- Energy relative to the elements, uncorrected: -1.33 eV per atom

```
16
Lattice="8.2416 0.0000 0.0000 0.0000 8.5804 0.2299 -4.1208 -4.1149 5.8328" Properties=species:S:1:pos:R:3 pbc="T T T"
Th -2.0516 2.2114 5.9227
Th 0.0000 4.2603 3.0182
Th 0.0000 0.2819 3.1103
Th 2.0516 2.2114 5.9227
Th 2.0691 2.2541 0.1399
Th 4.1208 4.1836 2.9524
Th 4.1208 0.2052 3.0445
Th 6.1724 2.2541 0.1399
Rh 4.1208 4.2902 0.1149
Rh 2.0604 2.2327 3.0313
Rh -2.0604 2.2327 3.0313
Se 4.1208 0.0000 0.0000
Se 2.0604 -2.0575 2.9164
Se 0.0000 0.0000 0.0000
Se -2.0604 -2.0575 2.9164
S 0.0000 4.2902 0.1149
```

---

Record 19
First-principles (GGA-PBE) data for an optimized crystal structure of PmMn2H8, as listed in Alexandria.

Results
- Relative energy among the computed polymorphs: 0.572 eV per formula unit

```
11
Lattice="3.7730 0.0000 -1.3631 -0.4925 3.7408 -1.3631 -0.0046 -0.0052 5.8906" Properties=species:S:1:pos:R:3 pbc="T T T"
Pm 1.6403 1.8704 -1.3631
Mn 0.5716 2.8029 1.5822
Mn 2.7044 0.9326 1.5822
H 3.0683 3.4987 -0.6928
H 0.2077 0.2368 3.8572
H 2.0317 2.3168 2.3414
H 2.3056 0.2368 3.0993
H 1.2442 1.4188 0.8230
H 0.9704 3.4987 0.0651
H 3.3421 1.4188 0.0651
H -0.0662 2.3167 3.0993
```

---

Record 20
First-principles (GGA-PBE) data for an optimized crystal structure of TmBe2Ni10, as listed in Alexandria.

Results
- Total energy: -5.6181 eV/atom

```
13
Lattice="4.5891 0.0000 0.0000 2.2946 5.7436 0.0000 2.2946 0.0000 5.6144" Properties=species:S:1:pos:R:3 pbc="T T T"
Tm 0.0000 0.0000 0.0000
Be 1.1473 2.8718 0.0000
Be 3.4418 2.8718 0.0000
Ni 4.5891 3.6837 3.6933
Ni 4.5891 2.0598 1.9211
Ni 6.8837 2.0598 3.6933
Ni 2.2946 3.6837 1.9211
Ni 1.1473 0.0000 2.8072
Ni 3.4418 0.0000 2.8072
Ni 2.2946 1.3506 1.2050
Ni 6.8837 4.3929 4.4094
Ni 4.5891 4.3929 1.2050
Ni 4.5891 1.3506 4.4094
```

---

Record 21
First-principles (GGA-PBE) data for an optimized crystal structure of Er6Te3Rh2Se, as listed in Alexandria.

Results
- Energy relative to the elements, uncorrected: -1.21 eV per atom

```
12
Lattice="7.1703 -0.0096 -0.0109 -3.5917 6.2059 -0.0109 -1.2045 -2.0856 7.1308" Properties=species:S:1:pos:R:3 pbc="T T T"
Er 3.6469 1.9386 5.6042
Er 2.3169 4.0116 1.4769
Er -1.2728 2.1722 1.5049
Er -0.1434 4.1277 5.6042
Er 0.0573 0.0992 5.6322
Er 2.5175 -0.0169 1.5049
Te -2.4672 4.1659 3.5545
Te 4.8413 -0.0551 3.5545
Te 1.1871 2.0554 3.5545
Rh -0.0161 4.1409 -0.0109
Rh 3.5947 2.0555 -0.0109
Se 0.0000 0.0000 0.0000
```

---

Record 22
First-principles (GGA-PBE) data for an optimized crystal structure of NbBiTe, as listed in Alexandria.

Results
- Energy relative to the elements, uncorrected: -0.20 eV per atom

```
6
Lattice="3.4723 0.0000 0.0000 0.0000 7.1362 -1.3683 -1.7361 -1.7160 7.4629" Properties=species:S:1:pos:R:3 pbc="T T T"
Nb 0.0000 5.0788 2.3983
Nb 1.7361 0.3414 3.6963
Bi 1.7361 3.3915 4.2396
Bi 0.0000 2.0287 1.8550
Te 1.7361 5.5834 0.2826
Te 0.0000 -0.1632 5.8121
```

---

Record 23
First-principles (GGA-PBE) data for an optimized crystal structure of LaPr2Sm6Y3, as listed in Alexandria.

Results
- Total energy: -5.1654 eV/atom

```
12
Lattice="-3.8318 4.8359 -1.3311 -2.4066 -5.7400 1.0492 1.1985 2.7888 11.6737" Properties=species:S:1:pos:R:3 pbc="T T T"
La 0.0000 0.0000 0.0000
Pr -2.8818 -2.2134 0.2554
Pr -3.3565 1.3092 -0.5374
Sm -4.0127 3.1666 8.0962
Sm -4.3819 0.0309 2.7610
Sm -1.0272 -1.2819 3.2956
Sm -3.5374 -0.3610 8.8902
Sm -0.6580 1.8538 8.6308
Sm -1.5025 2.2457 2.5016
Y -2.0452 -2.5808 6.4888
Y -2.9947 4.4655 4.9030
Y -2.5199 0.9424 5.6959
```

---

Record 24
First-principles (GGA-PBE) data for an optimized crystal structure of CaGeIO2, as listed in Alexandria.

Results
- Energy relative to the elements, uncorrected: -0.45 eV per atom
- Relative energy among the computed polymorphs: 2.002 eV per formula unit

```
5
Lattice="-1.2171 4.1770 -0.8763 -0.9447 -1.1523 -4.1804 -5.7429 -1.3245 1.6629" Properties=species:S:1:pos:R:3 pbc="T T T"
I -2.8715 -0.6623 0.8314
Ge -3.9524 0.8501 -1.6969
Ca 0.0000 0.0000 0.0000
O -0.4724 -0.5761 -2.0902
O -0.6085 2.0885 -0.4381
```